! PBE Zr2TcRh, optimized geometry; values from VASP
&SYSTEM
  ibrav = 0, nat = 4, ntyp = 3
/
ATOMIC_SPECIES
Rh 102.91 Rh.upf
Tc 98.00 Tc.upf
Zr 91.22 Zr.upf
CELL_PARAMETERS angstrom
4.658 0.000 0.000
2.329 4.034 0.000
2.329 1.345 3.803
ATOMIC_POSITIONS angstrom
Rh 2.329 1.345 0.951
Tc 6.987 4.034 2.852
Zr 4.658 2.689 1.902
Zr 0.000 0.000 0.000
! M_tot, μB per formula unit: 0.00
! Formation energy, meV per atom: -634
! Space-group type: No. 225
! Total DFT energy (no corrections), eV per atom: -9.337

***

! PBE AlCrSn2Au, optimized geometry; values from VASP
&SYSTEM
  ibrav = 0, nat = 5, ntyp = 4
/
ATOMIC_SPECIES
Al 26.98 Al.upf
Sn 118.71 Sn.upf
Cr 52.00 Cr.upf
Au 196.97 Au.upf
CELL_PARAMETERS angstrom
5.461 0.000 0.000
0.000 4.745 0.000
0.000 0.000 5.461
ATOMIC_POSITIONS angstrom
Al 0.000 2.372 0.000
Sn 2.730 0.000 0.000
Sn 0.000 0.000 2.730
Cr 2.730 2.372 2.730
Au 0.000 0.000 0.000
! M_tot, μB per formula unit: 4.56
! Formation energy, meV per atom: 668
! Space-group type: No. 123
! Total DFT energy (no corrections), eV per atom: -4.262

***

! PBE CaRe2Si, optimized geometry; values from VASP
&SYSTEM
  ibrav = 0, nat = 4, ntyp = 3
/
ATOMIC_SPECIES
Re 186.21 Re.upf
Ca 40.08 Ca.upf
Si 28.09 Si.upf
CELL_PARAMETERS angstrom
4.780 0.000 0.000
0.000 2.717 0.005
0.000 0.161 5.218
ATOMIC_POSITIONS angstrom
Re 0.000 0.341 0.090
Re 0.000 1.098 2.521
Ca 2.390 2.159 3.917
Si 2.390 0.720 1.306
! M_tot, μB per formula unit: 0.00
! Space-group type: No. 10
! Total DFT energy (no corrections), eV per atom: -7.618
! Formation energy without anion corrections, eV per atom: 0.46

***

! PBE CsTlIn2Pb4, optimized geometry; values from VASP
&SYSTEM
  ibrav = 0, nat = 8, ntyp = 4
/
ATOMIC_SPECIES
Cs 132.91 Cs.upf
In 114.82 In.upf
Pb 207.20 Pb.upf
Tl 204.38 Tl.upf
CELL_PARAMETERS angstrom
5.561 0.000 0.000
2.781 4.816 0.000
2.781 1.605 10.860
ATOMIC_POSITIONS angstrom
Cs 0.000 0.000 0.000
In 2.781 1.605 3.230
In 8.342 4.816 7.631
Pb 5.561 3.211 2.382
Pb 8.342 4.816 4.140
Pb 5.561 3.211 8.478
Pb 2.781 1.605 6.721
Tl 5.561 3.211 5.430
! M_tot, μB per formula unit: 0.00
! Formation energy, meV per atom: 4
! Space-group type: No. 166
! Total DFT energy (no corrections), eV per atom: -2.938

***

! PBE TbNd2Ru2, optimized geometry; values from VASP
&SYSTEM
  ibrav = 0, nat = 5, ntyp = 3
/
ATOMIC_SPECIES
Ru 101.07 Ru.upf
Nd 144.24 Nd.upf
Tb 158.93 Tb.upf
CELL_PARAMETERS angstrom
-0.836 -4.258 -0.079
4.978 -3.192 0.144
1.338 -2.570 5.159
ATOMIC_POSITIONS angstrom
Ru 4.020 -8.600 3.741
Ru 1.461 -1.420 1.484
Nd 1.661 -3.710 3.602
Nd 3.820 -6.310 1.623
Tb 2.071 -3.725 0.033
! M_tot, μB per formula unit: 0.00
! Formation energy, meV per atom: -193
! Space-group type: No. 71
! Total DFT energy (no corrections), eV per atom: -6.736

***

! PBE TbPuB4, optimized geometry; values from VASP
&SYSTEM
  ibrav = 0, nat = 6, ntyp = 3
/
ATOMIC_SPECIES
B 10.81 B.upf
Pu 244.00 Pu.upf
Tb 158.93 Tb.upf
CELL_PARAMETERS angstrom
-2.629 -0.414 3.946
-0.926 -4.307 1.802
2.034 -1.359 4.083
ATOMIC_POSITIONS angstrom
B 0.659 -3.738 3.977
B -0.416 -1.281 5.330
B -1.000 -3.999 6.467
B -2.284 -3.141 3.890
Pu 0.000 0.000 0.000
Tb -0.380 -1.520 2.458
! M_tot, μB per formula unit: 5.09
! Formation energy, meV per atom: 317
! Space-group type: No. 216
! Total DFT energy (no corrections), eV per atom: -7.295

***

! PBE Rb2TlAuF6, optimized geometry; values from VASP
&SYSTEM
  ibrav = 0, nat = 10, ntyp = 4
/
ATOMIC_SPECIES
F 19.00 F.upf
Au 196.97 Au.upf
Rb 85.47 Rb.upf
Tl 204.38 Tl.upf
CELL_PARAMETERS angstrom
-5.802 2.098 1.837
-1.690 -6.019 1.535
-2.092 -1.288 6.142
ATOMIC_POSITIONS angstrom
F -2.716 -3.993 1.611
F -4.775 0.072 1.762
F -6.723 -3.609 5.441
F -2.860 -1.600 4.073
F -5.622 -2.942 2.531
F -1.870 -0.979 0.842
Au -3.746 -1.961 1.686
Rb -5.820 -0.576 4.833
Rb -3.764 -4.634 4.682
Tl 0.000 0.000 0.000
! M_tot, μB per formula unit: 0.00
! Space-group type: No. 139
! Total DFT energy (no corrections), eV per atom: -3.807
! Formation energy without anion corrections, eV per atom: -1.93

***

! PBE Pm3Zn4Ni2, optimized geometry; values from VASP
&SYSTEM
  ibrav = 0, nat = 9, ntyp = 3
/
ATOMIC_SPECIES
Ni 58.69 Ni.upf
Zn 65.41 Zn.upf
Pm 145.00 Pm.upf
CELL_PARAMETERS angstrom
4.199 0.000 1.120
1.740 5.202 1.910
0.009 0.147 8.397
ATOMIC_POSITIONS angstrom
Ni 2.647 0.447 6.938
Ni 3.301 4.902 4.490
Zn 1.843 1.979 1.523
Zn 0.683 1.607 5.871
Zn 4.105 3.371 9.904
Zn 5.265 3.742 5.557
Pm 3.362 1.579 4.261
Pm 0.000 0.000 0.000
Pm 2.587 3.770 7.166
! M_tot, μB per formula unit: 0.00
! Formation energy, meV per atom: -355
! Space-group type: No. 12
! Total DFT energy (no corrections), eV per atom: -3.790

***

! PBE LiCa2Au, optimized geometry; values from VASP
&SYSTEM
  ibrav = 0, nat = 4, ntyp = 3
/
ATOMIC_SPECIES
Li 6.94 Li.upf
Ca 40.08 Ca.upf
Au 196.97 Au.upf
CELL_PARAMETERS angstrom
4.405 0.000 0.000
0.000 4.300 -0.003
0.000 2.139 5.743
ATOMIC_POSITIONS angstrom
Li 0.000 4.026 2.891
Ca 2.203 1.877 1.895
Ca 0.000 6.173 5.209
Au 2.203 4.022 4.355
! M_tot, μB per formula unit: 0.00
! Formation energy, meV per atom: -446
! Space-group type: No. 6
! Total DFT energy (no corrections), eV per atom: -2.745